# 1
Compound: Zn3InPd12
Source: the Alexandria database
Functional: PBE
Structure: optimized geometry

a b c (Å): 3.958 3.958 15.674
angles (deg): 90.00 90.00 90.00
Fractional coordinates of all 16 atoms:
Zn1 0.000 0.000 0.000
Zn2 0.000 0.000 0.245
Zn3 0.000 0.000 0.755
In1 0.000 0.000 0.500
Pd1 0.000 0.500 0.122
Pd2 0.000 0.500 0.368
Pd3 0.000 0.500 0.632
Pd4 0.000 0.500 0.878
Pd5 0.500 0.000 0.122
Pd6 0.500 0.000 0.368
Pd7 0.500 0.000 0.632
Pd8 0.500 0.000 0.878
Pd9 0.500 0.500 0.000
Pd10 0.500 0.500 0.245
Pd11 0.500 0.500 0.500
Pd12 0.500 0.500 0.755

Properties
Its formation enthalpy at 0 K is -502 kJ/mol of formula units. The space group is P4/mmm (123). For the density of states at the Fermi level, the calculation gives 21.99 states/eV/cell.


# 2
Compound: Ca6Zn2N
Source: the Alexandria database
Functional: PBE
Structure: optimized geometry

a b c (Å): 7.092 7.092 11.137
angles (deg): 108.25 108.25 33.24
Fractional coordinates of all 9 atoms:
Ca1 0.017 0.017 0.299
Ca2 0.174 0.174 0.594
Ca3 0.354 0.354 0.940
Ca4 0.646 0.646 0.060
Ca5 0.826 0.826 0.406
Ca6 0.983 0.983 0.701
Zn1 0.318 0.318 0.191
Zn2 0.682 0.682 0.809
N1 0.000 0.000 0.500

Properties
The calculation puts the formation energy (no corrections) at -0.1236 eV/atom. Its energy above the lowest structure with this stoichiometry is 0.209 eV per atom. The space group is C2/m (12). For the density of states at the Fermi level, the calculation gives 6.63 states/eV/cell.


# 3
Compound: YMnSi2
Source: the Alexandria database
Functional: PBE
Structure: optimized geometry

a b c (Å): 4.134 4.134 4.051
angles (deg): 90.00 90.00 90.00
Fractional coordinates of all 4 atoms:
Y1 0.000 0.000 0.000
Mn1 0.500 0.500 0.000
Si1 0.000 0.500 0.500
Si2 0.500 0.000 0.500

Properties
The calculation puts the formation energy (no corrections) at -0.1658 eV/atom. The space group is P4/mmm (123). For the density of states at the Fermi level, the calculation gives 3.70 states/eV/cell.